No. 1
First-principles (PBE) data for crystalline MnAsRu at its relaxed geometry, as listed in Alexandria.

Output
Size of the total moment = 3.950 μB/cell
DFT total energy = -7.62 eV/atom
Calculated formation energy = 81 meV per atom

Lattice parameters (Å, degrees): 4.625 4.625 4.625 141.79 133.89 61.38
Fractional positions:
Mn1 0.000 0.000 0.000
As1 0.327 0.327 0.000
Ru1 0.665 0.665 0.000


No. 2
First-principles (PBE) data for crystalline MnAsRu2 at its relaxed geometry, as listed in Alexandria.

Output
Size of the total moment = 2.992 μB/cell
DFT total energy = -8.01 eV/atom
Calculated formation energy = 79 meV per atom

Lattice parameters (Å, degrees): 5.096 5.096 5.096 146.19 128.55 62.99
Fractional positions:
Mn1 0.000 0.000 0.000
As1 0.500 0.500 0.000
Ru1 0.278 0.778 0.500
Ru2 0.722 0.222 0.500


No. 3
First-principles (PBE) data for crystalline MnAsRu2 at its relaxed geometry, as listed in Alexandria.

Output
Size of the total moment = 1.585 μB/cell
DFT total energy = -7.91 eV/atom
Calculated formation energy = 180 meV per atom

Lattice parameters (Å, degrees): 8.306 8.306 8.306 19.37 19.37 19.37
Fractional positions:
Mn1 0.000 0.000 0.000
As1 0.254 0.254 0.254
Ru1 0.506 0.506 0.506
Ru2 0.748 0.748 0.748


No. 4
First-principles (PBE) data for crystalline Mn2AsRu at its relaxed geometry, as listed in Alexandria.

Output
Size of the total moment = 6.000 μB/cell
DFT total energy = -8.04 eV/atom
Calculated formation energy = 23 meV per atom

Lattice parameters (Å, degrees): 4.490 4.490 2.936 90.00 90.00 111.04
Fractional positions:
Mn1 0.000 0.500 0.000
Mn2 0.500 0.000 0.000
As1 0.000 0.000 0.500
Ru1 0.500 0.500 0.500